DFT (GGA-PBEsol) results for an optimized crystal structure of TiPb2CS.

Cell lengths 5.4416, 5.4416, 3.8457 Å; angles 90.00, 90.00, 90.00 degrees
Element x y z (fractional)
Ti 0.0000 0.0000 0.0000
Pb 0.0000 0.5000 0.0000
Pb 0.5000 0.0000 0.0000
C 0.0000 0.0000 0.5000
S 0.5000 0.5000 0.5000

Properties
Formation energy (no corrections), eV per atom: 0.748



DFT (GGA-PBEsol) results for an optimized crystal structure of CaTe2Pt.

Cell lengths 6.6873, 6.6873, 6.6873 Å; angles 147.24, 143.12, 50.15 degrees
Element x y z (fractional)
Ca 0.0000 0.0000 0.0000
Te 0.4084 0.4084 0.0000
Te 0.6870 0.1870 0.5000
Pt 0.2378 0.7378 0.5000

Properties
Formation energy (no corrections), eV per atom: -0.587



DFT (GGA-PBEsol) results for an optimized crystal structure of K2InS2.

Cell lengths 6.2545, 6.2545, 6.2545 Å; angles 127.25, 127.25, 77.85 degrees
Element x y z (fractional)
K 0.1517 0.1517 0.0000
K 0.8483 0.8483 0.0000
In 0.5000 0.5000 0.0000
S 0.2500 0.7500 0.5000
S 0.7500 0.2500 0.5000

Properties
Formation energy (no corrections), eV per atom: -0.239



DFT (GGA-PBEsol) results for an optimized crystal structure of Tl4Rh.

Cell lengths 6.3795, 6.3795, 8.7136 Å; angles 132.93, 132.93, 28.39 degrees
Element x y z (fractional)
Tl 0.0668 0.0668 0.3332
Tl 0.2636 0.2636 0.1959
Tl 0.7364 0.7364 0.8041
Tl 0.9332 0.9332 0.6668
Rh 0.5000 0.5000 0.0000

Properties
Formation energy from the elements, eV per atom: 0.084



DFT (GGA-PBEsol) results for an optimized crystal structure of Mn2CuRe.

Cell lengths 8.4528, 8.4528, 8.4528 Å; angles 17.67, 17.67, 17.67 degrees
Element x y z (fractional)
Mn 0.2494 0.2494 0.2494
Mn 0.7506 0.7506 0.7506
Cu 0.5000 0.5000 0.5000
Re 0.0000 0.0000 0.0000

Properties
Formation energy from the elements, eV per atom: 0.302



DFT (GGA-PBEsol) results for an optimized crystal structure of YSi2.

Cell lengths 16.4994, 16.4994, 16.4994 Å; angles 166.83, 166.83, 18.67 degrees
Element x y z (fractional)
Y 0.3050 0.5550 0.7500
Y 0.4450 0.6950 0.7500
Y 0.5550 0.3050 0.2500
Y 0.6950 0.4450 0.2500
Si 0.0214 0.7714 0.2500
Si 0.1242 0.3742 0.7500
Si 0.2286 0.9786 0.2500
Si 0.3742 0.1242 0.2500
Si 0.6258 0.8758 0.7500
Si 0.7714 0.0214 0.7500
Si 0.8758 0.6258 0.2500
Si 0.9786 0.2286 0.7500

Properties
Formation energy (no corrections), eV per atom: -0.564



DFT (GGA-PBEsol) results for an optimized crystal structure of MgTaTl2.

Cell lengths 3.0139, 5.4070, 5.2630 Å; angles 90.00, 90.00, 90.00 degrees
Element x y z (fractional)
Mg 0.0000 0.0000 0.0000
Ta 0.5000 0.5000 0.7932
Tl 0.0000 0.5000 0.2906
Tl 0.5000 0.0000 0.5264

Properties
Formation energy from the elements, eV per atom: 0.373



DFT (GGA-PBEsol) results for an optimized crystal structure of GaMoSCl2.

Cell lengths 4.8742, 4.8742, 4.5789 Å; angles 90.00, 90.00, 90.00 degrees
Element x y z (fractional)
Ga 0.0000 0.0000 0.0000
Mo 0.5000 0.5000 0.5000
S 0.5000 0.5000 0.0000
Cl 0.0000 0.5000 0.5000
Cl 0.5000 0.0000 0.5000

Properties
Formation energy (no corrections), eV per atom: -0.295



| no. | ρ (g/cm3) | density of states at the Fermi level (states/eV per cell) | DFT total energy (eV/cell) |
| --- | --- | --- | --- |
| 1 | 7.383 | 2.4 | -26.61 |
| 2 | 8.424 | 2.3 | -18.50 |
| 3 | 2.841 | 4.5 | -15.21 |
| 4 | 12.739 | 1.9 | -18.24 |
| 5 | 12.289 | 4.4 | -35.98 |
| 6 | 4.133 | 6.0 | -80.03 |
| 7 | 11.888 | 2.7 | -18.04 |
| 8 | 4.100 | 2.8 | -24.98 |